MnAl2NiB | PBE | optimized geometry

Lattice parameters (Å, degrees): 4.3301 4.3301 4.2497 90.00 90.00 90.00
With the nearest neighbours (Å) after each atom.
Space group P4/mmm (No. 123)
Symmetry-distinct sites (fractional):
Mn  0.0000  0.0000  0.0000 x1  2 Ni 2.12
Al  0.0000  0.5000  0.5000 x2  2 Ni 2.17
Ni  0.0000  0.0000  0.5000 x1  2 Mn 2.12, 4 Al 2.17
B  0.5000  0.5000  0.0000 x1  8 Al 3.03, 4 Mn 3.06

As for the total magnetization: 0.1 μB/cell. Its formation energy is 1.224 eV/atom.

CaAgAs2 | PBE | optimized geometry

Lattice parameters (Å, degrees): 3.1023 5.2034 5.3632 90.00 90.00 90.00
With the nearest neighbours (Å) after each atom.
Space group Pmm2 (No. 25)
Symmetry-distinct sites (fractional):
Ca  0.0000  0.0000  0.0000 x1  8 As 3.10-3.13, 2 Ca 3.10
Ag  0.5000  0.5000  0.6535 x1  4 As 2.66-2.73
As  0.5000  0.0000  0.4998 x1  2 Ag 2.73
As  0.5000  0.5000  0.1490 x1  2 Ag 2.66-2.71

As for the total magnetization: 0.0 μB/cell. Its formation energy is -0.318 eV/atom.

Hf2MgFeW | PBE | optimized geometry

Lattice parameters (Å, degrees): 4.8716 4.8716 4.5052 90.00 90.00 90.00
With the nearest neighbours (Å) after each atom.
Space group P4/mmm (No. 123)
Symmetry-distinct sites (fractional):
Hf  0.0000  0.5000  0.0000 x2  2 Mg 2.44
Mg  0.0000  0.0000  0.0000 x1  2 W 2.25, 4 Hf 2.44
Fe  0.5000  0.5000  0.5000 x1  8 Hf 3.32, 4 W 3.44
W  0.0000  0.0000  0.5000 x1  2 Mg 2.25

As for the total magnetization: 0.0 μB/cell. Its formation energy is 2.138 eV/atom.

LiTlSn3 | PBE | optimized geometry

Lattice parameters (Å, degrees): 5.7842 5.7842 5.7842 90.00 90.00 90.00
With the nearest neighbours (Å) after each atom.
Space group Pm-3m (No. 221)
Symmetry-distinct sites (fractional):
Li  0.0000  0.0000  0.0000 x1  12 Sn 4.09
Tl  0.5000  0.5000  0.5000 x1  6 Sn 2.89
Sn  0.0000  0.5000  0.5000 x3  2 Tl 2.89

The energy above the most stable polymorph in this dataset comes out at 655 meV per atom. As for the total magnetization: 0.0 μB/cell. Its formation energy is 0.579 eV/atom.